# Li3Mg3In5

A relaxed structure of Li3Mg3In5 (GGA-PBE, the Alexandria database).

Unit cell a=5.1233 b=8.8685 c=8.8685 alpha=120.00 beta=90.00 gamma=90.00
Atoms (fractional coordinates):
Li1 0.0000 0.4845 0.0000
Li2 0.0000 0.0000 0.4845
Li3 0.0000 0.5155 0.5155
Mg1 0.5000 0.6941 0.0000
Mg2 0.5000 0.3059 0.3059
Mg3 0.5000 0.0000 0.6941
In1 0.5000 0.6667 0.3333
In2 0.5000 0.3333 0.6667
In3 0.5000 0.3364 0.0000
In4 0.5000 0.6636 0.6636
In5 0.5000 0.0000 0.3364

## Properties
Space-group type: No. 189
Total magnetization (μB/atom): 0.00
Energy (eV/cell): -22.275
ρ (g/cm3): 3.18
DOS at the Fermi energy (states/eV/f.u.): 4.7
Energy above the lowest structure with this stoichiometry (eV per atom): 0.060
Formation energy from the elements (kJ/mol of atoms): 17.04